1.
# YTa2Ag

A relaxed YTa2Ag crystal (PBE-GGA, Alexandria).

Lattice parameters (Å, degrees): 3.0226 3.0226 8.9717 90.00 90.00 90.00
Space group P4mm (No. 99)
One atom of each set of equivalent atoms:
Y1 0.0000 0.0000 0.0000 (multiplicity 1)
Ta1 0.0000 0.0000 0.4962 (multiplicity 1)
Ta2 0.5000 0.5000 0.7290 (multiplicity 1)
Ag1 0.5000 0.5000 0.2678 (multiplicity 1)

Computed properties:
* calculated total energy: -7.995 eV/atom
* E above lowest polymorph: 30 kJ/mol of formula units
* DOS at the Fermi energy: 3.50 states/eV/cell
* ΔE_f: 260 meV/atom

=====

2.
# In3RhN

A relaxed In3RhN crystal (PBE-GGA, Alexandria).

Lattice parameters (Å, degrees): 4.5422 4.5422 4.5422 90.00 90.00 90.00
Space group Pm-3m (No. 221)
One atom of each set of equivalent atoms:
In1 0.0000 0.0000 0.5000 (multiplicity 3)
Rh1 0.5000 0.5000 0.5000 (multiplicity 1)
N1 0.0000 0.0000 0.0000 (multiplicity 1)

Computed properties:
* calculated total energy: -4.239 eV/atom
* formation energy without anion corrections: 0.539 eV per atom
* E above lowest polymorph: 0 kJ/mol of formula units
* DOS at the Fermi energy: 4.12 states/eV/cell

=====

3.
# V2Ru

A relaxed V2Ru crystal (PBE-GGA, Alexandria).

Lattice parameters (Å, degrees): 4.2348 4.2348 5.2037 90.00 90.00 120.00
Space group P-3m1 (No. 164)
One atom of each set of equivalent atoms:
V1 0.0000 0.0000 0.0000 (multiplicity 1)
V2 0.0000 0.0000 0.5000 (multiplicity 1)
V3 0.3333 0.6667 0.1602 (multiplicity 2)
Ru1 0.3333 0.6667 0.6672 (multiplicity 2)

Computed properties:
* calculated total energy: -9.483 eV/atom
* DOS at the Fermi energy: 3.23 states/eV/cell
* ΔE_f: -312 meV/atom

=====

4.
# CdReP

A relaxed CdReP crystal (PBE-GGA, Alexandria).

Lattice parameters (Å, degrees): 4.0079 4.0079 3.7459 90.00 90.00 120.00
Space group P-6m2 (No. 187)
One atom of each set of equivalent atoms:
Cd1 0.0000 0.0000 0.0000 (multiplicity 1)
Re1 0.6667 0.3333 0.5000 (multiplicity 1)
P1 0.3333 0.6667 0.5000 (multiplicity 1)

Computed properties:
* calculated total energy: -6.057 eV/atom
* E above lowest polymorph: 63 kJ/mol of formula units
* DOS at the Fermi energy: 1.48 states/eV/cell
* ΔE_f: 201 meV/atom

=====

5.
# CsIn4Bi3

A relaxed CsIn4Bi3 crystal (PBE-GGA, Alexandria).

Lattice parameters (Å, degrees): 5.4027 5.4027 10.3522 90.00 90.00 90.00
Space group P4/mmm (No. 123)
One atom of each set of equivalent atoms:
Cs1 0.0000 0.0000 0.0000 (multiplicity 1)
In1 0.0000 0.5000 0.3258 (multiplicity 4)
Bi1 0.0000 0.0000 0.5000 (multiplicity 1)
Bi2 0.5000 0.5000 0.1554 (multiplicity 2)

Computed properties:
* calculated total energy: -3.021 eV/atom
* DOS at the Fermi energy: 3.34 states/eV/cell
* ΔE_f: -90 meV/atom

=====

6.
# Cs3Na4Pb

A relaxed Cs3Na4Pb crystal (PBE-GGA, Alexandria).

Lattice parameters (Å, degrees): 7.3551 8.6299 14.2124 90.00 90.00 90.00
Space group Imm2 (No. 44)
One atom of each set of equivalent atoms:
Cs1 0.0000 0.0000 0.0000 (multiplicity 2)
Cs2 0.0000 0.2415 0.3430 (multiplicity 4)
Na1 0.0000 0.2894 0.6988 (multiplicity 4)
Na2 0.2395 0.5000 0.0717 (multiplicity 4)
Pb1 0.0000 0.5000 0.8839 (multiplicity 2)

Computed properties:
* calculated total energy: -1.465 eV/atom
* DOS at the Fermi energy: 9.36 states/eV/cell
* ΔE_f: -22 meV/atom

=====

7.
# KCrIr2

A relaxed KCrIr2 crystal (PBE-GGA, Alexandria).

Lattice parameters (Å, degrees): 6.3778 6.3778 6.3778 90.00 90.00 90.00
Space group Fm-3m (No. 225)
One atom of each set of equivalent atoms:
K1 0.0000 0.0000 0.0000 (multiplicity 4)
Cr1 0.0000 0.0000 0.5000 (multiplicity 4)
Ir1 0.2500 0.2500 0.2500 (multiplicity 8)

Computed properties:
* calculated total energy: -5.836 eV/atom
* E above lowest polymorph: 364 kJ/mol of formula units
* DOS at the Fermi energy: 25.85 states/eV/cell
* ΔE_f: 1274 meV/atom

=====

8.
# ThAlZn2Cu4

A relaxed ThAlZn2Cu4 crystal (PBE-GGA, Alexandria).

Lattice parameters (Å, degrees): 4.1748 4.1748 25.6386 90.00 90.00 120.00
Space group R-3m (No. 166, hexagonal axes)
One atom of each set of equivalent atoms:
Th1 0.0000 0.0000 0.0000 (multiplicity 3)
Al1 0.0000 0.0000 0.5000 (multiplicity 3)
Zn1 0.0000 0.0000 0.2395 (multiplicity 6)
Cu1 0.0000 0.0000 0.1322 (multiplicity 6)
Cu2 0.0000 0.0000 0.4034 (multiplicity 6)

Computed properties:
* calculated total energy: -3.923 eV/atom
* DOS at the Fermi energy: 14.44 states/eV/cell
* ΔE_f: -161 meV/atom

=====

9.
# SrLa2InRu

A relaxed SrLa2InRu crystal (PBE-GGA, Alexandria).

Lattice parameters (Å, degrees): 5.3773 5.3773 5.8745 90.00 90.00 90.00
Space group P4/mmm (No. 123)
One atom of each set of equivalent atoms:
Sr1 0.0000 0.0000 0.0000 (multiplicity 1)
La1 0.0000 0.5000 0.5000 (multiplicity 2)
In1 0.5000 0.5000 0.0000 (multiplicity 1)
Ru1 0.0000 0.0000 0.5000 (multiplicity 1)

Computed properties:
* calculated total energy: -4.900 eV/atom
* E above lowest polymorph: 31 kJ/mol of formula units
* DOS at the Fermi energy: 6.13 states/eV/cell
* ΔE_f: -190 meV/atom

=====

10.
# Dy5Hg4Rh

A relaxed Dy5Hg4Rh crystal (PBE-GGA, Alexandria).

Lattice parameters (Å, degrees): 3.6195 3.6195 18.7242 90.00 90.00 90.00
Space group P4/mmm (No. 123)
One atom of each set of equivalent atoms:
Dy1 0.0000 0.0000 0.0000 (multiplicity 1)
Dy2 0.0000 0.0000 0.2058 (multiplicity 2)
Dy3 0.0000 0.0000 0.4140 (multiplicity 2)
Hg1 0.5000 0.5000 0.1031 (multiplicity 2)
Hg2 0.5000 0.5000 0.3064 (multiplicity 2)
Rh1 0.5000 0.5000 0.5000 (multiplicity 1)

Computed properties:
* calculated total energy: -3.716 eV/atom
* DOS at the Fermi energy: 6.72 states/eV/cell
* ΔE_f: -559 meV/atom

=====

11.
# LaGd

A relaxed LaGd crystal (PBE-GGA, Alexandria).

Lattice parameters (Å, degrees): 4.1285 4.1285 4.1285 90.00 90.00 90.00
Space group Pm-3m (No. 221)
One atom of each set of equivalent atoms:
La1 0.0000 0.0000 0.0000 (multiplicity 1)
Gd1 0.5000 0.5000 0.5000 (multiplicity 1)

Computed properties:
* calculated total energy: -9.414 eV/atom
* DOS at the Fermi energy: 4.12 states/eV/cell
* ΔE_f: 90 meV/atom